A plane-wave DFT calculation with GGA-PBEsol was carried out for a relaxed structure of Sr2FeAs.

Volume in A^3/atom: 22.15
Calculated formation energy in eV/atom: 0.30
Density in kg/m³: 5735

abc: 7.0766 7.0766 7.0766
angles: 90.00 90.00 90.00
Closest atoms and distances in Å follow each position.
Space group F-43m (No. 216)
Unique sites:
Sr (0.0000, 0.0000, 0.0000) (multiplicity 4)  4 Fe 3.06, 4 Sr 3.06
Sr (0.2500, 0.2500, 0.2500) (multiplicity 4)  4 As 3.06, 4 Sr 3.06
Fe (0.2500, 0.2500, 0.7500) (multiplicity 4)  4 As 3.06, 4 Sr 3.06
As (0.0000, 0.0000, 0.5000) (multiplicity 4)  4 Fe 3.06, 4 Sr 3.06

***

A plane-wave DFT calculation with GGA-PBEsol was carried out for a relaxed structure of SrCa2ZrRu.

Volume in A^3/atom: 30.70
Calculated formation energy in eV/atom: 0.81
Density in kg/m³: 3895

abc: 5.3130 5.3130 5.4386
angles: 90.00 90.00 90.00
Closest atoms and distances in Å follow each position.
Space group P4/mmm (No. 123)
Unique sites:
Sr (0.0000, 0.0000, 0.0000) (multiplicity 1)  2 Ru 2.72
Ca (0.0000, 0.5000, 0.5000) (multiplicity 2)  2 Ru 2.66
Zr (0.5000, 0.5000, 0.0000) (multiplicity 1)  4 Sr 3.76, 8 Ca 3.80
Ru (0.0000, 0.0000, 0.5000) (multiplicity 1)  4 Ca 2.66, 2 Sr 2.72

***

A plane-wave DFT calculation with GGA-PBEsol was carried out for a relaxed structure of FeSeBr2.

Volume in A^3/atom: 24.49
ΔE_f (raw) in eV per atom: 0.046
Density in kg/m³: 4994

abc: 2.9410 6.4213 10.3747
angles: 90.00 90.00 90.00
Closest atoms and distances in Å follow each position.
Space group Imm2 (No. 44)
Unique sites:
Fe (0.0000, 0.0000, 0.0000) (multiplicity 2)  2 Se 2.31, 2 Br 2.38
Se (0.0000, 0.5000, 0.6719) (multiplicity 2)  2 Fe 2.31
Br (0.0000, 0.0000, 0.4937) (multiplicity 2)  2 Br 2.94
Br (0.0000, 0.5000, 0.3195) (multiplicity 2)  2 Fe 2.38

***

A plane-wave DFT calculation with GGA-PBEsol was carried out for a relaxed structure of RePb2.

Volume in A^3/atom: 22.51
Calculated formation energy in eV/atom: 1.33
Density in kg/m³: 14771

abc: 5.2209 5.2209 2.8602
angles: 90.00 90.00 120.00
Closest atoms and distances in Å follow each position.
Space group P6/mmm (No. 191)
Unique sites:
Re (0.0000, 0.0000, 0.0000) (multiplicity 1)  2 Re 2.86
Pb (0.3333, 0.6667, 0.5000) (multiplicity 2)  5 Pb 2.86-3.01

***

A plane-wave DFT calculation with GGA-PBEsol was carried out for a relaxed structure of Y2MgAl.

Volume in A^3/atom: 24.64
Calculated formation energy in eV/atom: -0.19
Density in kg/m³: 3859

abc: 3.6573 5.0959 10.5778
angles: 90.00 90.00 90.00
Closest atoms and distances in Å follow each position.
Space group Imm2 (No. 44)
Unique sites:
Y (0.0000, 0.0000, 0.0000) (multiplicity 2)  4 Mg 3.17, 2 Al 3.24, 4 Y 3.41-3.51
Y (0.0000, 0.5000, 0.2283) (multiplicity 2)  4 Al 3.15, 4 Y 3.41-3.51, 4 Mg 3.42-3.50
Mg (0.0000, 0.0000, 0.4552) (multiplicity 2)  2 Al 2.81
Al (0.0000, 0.5000, 0.7531) (multiplicity 2)  2 Mg 2.81, 4 Y 3.15

***

A plane-wave DFT calculation with GGA-PBEsol was carried out for a relaxed structure of Y3AlCd.

Volume in A^3/atom: 32.05
Calculated formation energy in eV/atom: 0.30
Density in kg/m³: 4208

abc: 5.4317 5.4317 5.4317
angles: 90.00 90.00 90.00
Closest atoms and distances in Å follow each position.
Space group Pm-3m (No. 221)
Unique sites:
Y (0.0000, 0.0000, 0.5000) (multiplicity 3)  2 Al 2.72
Al (0.0000, 0.0000, 0.0000) (multiplicity 1)  6 Y 2.72
Cd (0.5000, 0.5000, 0.5000) (multiplicity 1)  12 Y 3.84

***

A plane-wave DFT calculation with GGA-PBEsol was carried out for a relaxed structure of KTcCl2.

Volume in A^3/atom: 20.92
ΔE_f (raw) in eV per atom: -0.092
Density in kg/m³: 4129

abc: 5.0664 5.0664 3.2593
angles: 90.00 90.00 90.00
Closest atoms and distances in Å follow each position.
Space group P4/mmm (No. 123)
Unique sites:
K (0.0000, 0.0000, 0.0000) (multiplicity 1)  8 Cl 3.01, 2 K 3.26
Tc (0.5000, 0.5000, 0.0000) (multiplicity 1)  8 Cl 3.01, 2 Tc 3.26
Cl (0.0000, 0.5000, 0.5000) (multiplicity 2)  4 Tc 3.01, 4 K 3.01, 2 Cl 3.26

***

A plane-wave DFT calculation with GGA-PBEsol was carried out for a relaxed structure of CrCdOs2.

Volume in A^3/atom: 14.54
Calculated formation energy in eV/atom: 0.41
Density in kg/m³: 15562

abc: 2.7275 2.7275 27.0738
angles: 90.00 90.00 120.00
Closest atoms and distances in Å follow each position.
Space group R3m (No. 160, hexagonal axes)
Unique sites:
Cr (0.0000, 0.0000, 0.0000) (multiplicity 3)  3 Os 2.56, 6 Cr 2.73, 3 Cd 2.85
Cd (0.0000, 0.0000, 0.2454) (multiplicity 3)  6 Cd 2.73, 3 Cr 2.85, 3 Os 2.93
Os (0.0000, 0.0000, 0.4877) (multiplicity 3)  9 Os 2.67-2.73, 3 Cd 2.93
Os (0.0000, 0.0000, 0.7412) (multiplicity 3)  3 Cr 2.56, 9 Os 2.67-2.73